Entry 1:
An optimized crystal structure of NaBi3Pd3, computed with PBE.

Output
* Fermi-level density of states: 15.19 states/eV per cell
* total DFT energy (no corrections): -56.962 eV per cell
* energy above the most stable polymorph in this dataset: 266.8 meV per atom
* formation energy from the elements: 0.01 eV per atom

Cell: 7.6344 7.6344 7.6344 Å, 90.00 90.00 90.00°
Sites, in units of the cell vectors:
Pd  0.2500  0.0000  0.5000
Pd  0.7500  0.0000  0.5000
Pd  0.0000  0.5000  0.2500
Bi  0.5000  0.0000  0.2500
Bi  0.0000  0.7500  0.5000
Bi  0.5000  0.0000  0.7500
Na  0.5000  0.5000  0.5000
Pd  0.5000  0.7500  0.0000
Na  0.0000  0.0000  0.0000
Pd  0.0000  0.5000  0.7500
Bi  0.2500  0.5000  0.0000
Bi  0.0000  0.2500  0.5000
Pd  0.5000  0.2500  0.0000
Bi  0.7500  0.5000  0.0000

=====

Entry 2:
An optimized crystal structure of ZrTi2Cu, computed with PBE.

Output
* Fermi-level density of states: 6.21 states/eV per cell
* total DFT energy (no corrections): -27.824 eV per cell
* energy above the most stable polymorph in this dataset: 169.9 meV per atom
* formation energy from the elements: 0.15 eV per atom

Cell: 4.5734 4.5734 4.5734 Å, 60.00 60.00 60.00°
Sites, in units of the cell vectors:
Cu  0.0000  0.0000  0.0000
Ti  0.7500  0.7500  0.7500
Zr  0.5000  0.5000  0.5000
Ti  0.2500  0.2500  0.2500

=====

Entry 3:
An optimized crystal structure of BeNi4Mo, computed with PBE.

Output
* Fermi-level density of states: 7.54 states/eV per cell
* total DFT energy (no corrections): -36.998 eV per cell
* formation energy from the elements: 0.11 eV per atom

Cell: 4.6273 4.6273 4.6273 Å, 60.00 60.00 60.00°
Sites, in units of the cell vectors:
Ni  0.8742  0.3753  0.3753
Mo  0.0000  0.0000  0.0000
Ni  0.3753  0.8742  0.3753
Ni  0.3753  0.3753  0.8742
Be  0.7500  0.7500  0.7500
Ni  0.3753  0.3753  0.3753

=====

Entry 4:
An optimized crystal structure of CoCu2Au, computed with PBE.

Output
* Fermi-level density of states: 4.15 states/eV per cell
* total DFT energy (no corrections): -17.978 eV per cell
* formation energy from the elements: 0.15 eV per atom

Cell: 4.5660 4.5660 4.6753 Å, 80.58 80.58 33.95°
Sites, in units of the cell vectors:
Co  0.2500  0.2500  0.2500
Cu  0.9946  0.9946  0.0199
Cu  0.5054  0.5054  0.4801
Au  0.7500  0.7500  0.7500